Arrangement w

Here is AsP4 after structural relaxation from Alexandria. Energies are from PBE.

Cell lengths 4.652, 4.652, 4.652 Å; angles 90.00, 90.00, 90.00 degrees
Positions (direct):
1 As 0.000 0.000 0.000
2 P 0.000 0.000 0.500
3 P 0.000 0.500 0.000
4 P 0.500 0.000 0.000
5 P 0.500 0.500 0.500

Output
Its space group is Pm-3m, No. 221.



Arrangement x

Here is AsP4 after structural relaxation from Alexandria. Energies are from PBE.

Cell lengths 5.250, 5.250, 5.250 Å; angles 95.71, 95.71, 143.23 degrees
Positions (direct):
1 As 0.000 0.000 0.000
2 P 0.191 0.500 0.691
3 P 0.500 0.191 0.691
4 P 0.500 0.809 0.309
5 P 0.809 0.500 0.309

Output
Its space group is I4/mmm, No. 139.



Of them, the most stable is arrangement x and the least stable is arrangement w.